Entry 1:
The following is a PBE calculation of a relaxed CrTc2NiN crystal, from Alexandria via LeMat-Bulk.

N(E_F): 6.4 states/eV/cell
E_form (uncorrected): 0.01 eV per atom

Lattice parameters (Å, degrees): 3.988 3.988 3.777 90.00 90.00 90.00
Fractional positions:
Cr 0.000 0.000 0.000
Tc 0.000 0.500 0.500
Tc 0.500 0.000 0.500
Ni 0.500 0.500 0.000
N 0.000 0.000 0.500

Entry 2:
The following is a PBE calculation of a relaxed VCr2NiN crystal, from Alexandria via LeMat-Bulk.

N(E_F): 6.2 states/eV/cell
E_form (uncorrected): -0.29 eV per atom

Lattice parameters (Å, degrees): 3.760 3.760 3.890 90.00 90.00 90.00
Fractional positions:
V 0.000 0.000 0.000
Cr 0.000 0.500 0.500
Cr 0.500 0.000 0.500
Ni 0.500 0.500 0.000
N 0.000 0.000 0.500

Entry 3:
The following is a PBE calculation of a relaxed Cr2NiWN crystal, from Alexandria via LeMat-Bulk.

N(E_F): 6.1 states/eV/cell
E_form (uncorrected): -0.09 eV per atom

Lattice parameters (Å, degrees): 3.791 3.791 4.041 90.00 90.00 90.00
Fractional positions:
Cr 0.000 0.500 0.000
Cr 0.500 0.000 0.000
Ni 0.000 0.000 0.500
W 0.500 0.500 0.500
N 0.500 0.500 0.000